# Cs3DyGa2O6 PBE optimized geometry
data_Cs3DyGa2O6
_chemical_formula_sum 'Cs3 Dy1 Ga2 O6'
_space_group_name_H-M_alt 'P -3 m 1'
_space_group_IT_number 164
_space_group_name_Hall '-P 3 2"'
_cell_length_a 6.2590
_cell_length_b 6.2590
_cell_length_c 7.7817
_cell_angle_alpha 90.00
_cell_angle_beta 90.00
_cell_angle_gamma 120.00
loop_
_atom_site_label
_atom_site_fract_x
_atom_site_fract_y
_atom_site_fract_z
Cs1 0.0000 0.0000 0.0000
Cs2 0.3333 0.6667 0.7604
Dy1 0.0000 0.0000 0.5000
Ga1 0.3333 0.6667 0.3227
O1 0.1679 0.3358 0.3179
# Total energy = -66.777 eV for the cell shown
# Fermi-level density of states = 0.000 states/eV/f.u.
# Formation energy (no corrections) = -1.984 eV per atom
# Magnetic moment = 0.0 μB/f.u.